No. 1
First-principles (PBE-GGA) data for Cs2CaSmBr6 after structural relaxation, as listed in Alexandria via LeMat-Bulk.

## Properties
The density of states at the Fermi level is 0.44 states/eV per atom. As for the final energy: -3.6278 eV per atom. The calculation puts the energy relative to the elements, uncorrected at -1.781 eV per atom.

Unit cell a=8.194 b=11.587 c=8.187 alpha=90.00 beta=90.00 gamma=90.00
Fractional coordinates of all 20 atoms:
Cs 0.250 0.000 0.250
Cs 0.250 0.500 0.250
Cs 0.750 0.000 0.750
Cs 0.750 0.500 0.750
Ca 0.250 0.250 0.750
Ca 0.750 0.750 0.250
Sm 0.250 0.750 0.750
Sm 0.750 0.250 0.250
Br 0.001 0.250 0.000
Br 0.001 0.250 0.502
Br 0.250 0.001 0.749
Br 0.250 0.499 0.749
Br 0.499 0.250 0.000
Br 0.499 0.250 0.502
Br 0.501 0.750 0.000
Br 0.501 0.750 0.498
Br 0.750 0.501 0.251
Br 0.750 0.999 0.251
Br 0.999 0.750 0.000
Br 0.999 0.750 0.498

---

No. 2
First-principles (PBE-GGA) data for CsCa2SmBr8 after structural relaxation, as listed in Alexandria via LeMat-Bulk.

## Properties
The density of states at the Fermi level is 0.00 states/eV per atom. As for the final energy: -3.8008 eV per atom. The calculation puts the energy relative to the elements, uncorrected at -1.888 eV per atom.

Unit cell a=6.886 b=7.149 c=9.379 alpha=89.95 beta=89.90 gamma=89.03
Fractional coordinates of all 12 atoms:
Cs 0.000 0.000 0.000
Ca 0.500 0.500 0.247
Ca 0.500 0.500 0.753
Sm 0.000 0.000 0.500
Br 0.251 0.829 0.706
Br 0.252 0.830 0.293
Br 0.261 0.327 0.500
Br 0.271 0.397 0.000
Br 0.729 0.603 0.000
Br 0.739 0.673 0.500
Br 0.748 0.170 0.707
Br 0.749 0.171 0.294